1.
VASP calculation (GGA-PBE) on crystalline Mo3PbC at its relaxed geometry.

a b c (Å): 5.0172 5.0172 5.0172
angles (deg): 90.00 90.00 90.00
Space group Pm-3m (No. 221)
One atom of each set of equivalent atoms:
Mo 0.0000 0.0000 0.5000 x3
Pb 0.0000 0.0000 0.0000 x1
C 0.5000 0.5000 0.5000 x1

Output
- Formation energy from the elements: 3.980 eV per atom

---

2.
VASP calculation (GGA-PBE) on crystalline BaAlPCl2 at its relaxed geometry.

a b c (Å): 5.9161 5.9161 6.4169
angles (deg): 90.00 90.00 90.00
Space group P4/mmm (No. 123)
One atom of each set of equivalent atoms:
Ba 0.0000 0.0000 0.0000 x1
Al 0.5000 0.5000 0.5000 x1
P 0.0000 0.0000 0.5000 x1
Cl 0.0000 0.5000 0.0000 x2

Output
- E_form (uncorrected): -33.9 kJ per mole of atoms

---

Number 1: energy above the most stable polymorph in this dataset 3607 meV per atom, raw total energy -5.11 eV per atom. Number 2: energy above the most stable polymorph in this dataset 829 meV per atom, raw total energy -3.31 eV per atom.